No. 1
Material: Pm5MgAl3
Method: DFT, PBE
State: relaxed

## Properties
Calculated formation energy   -0.256 eV/atom

Lattice parameters (Å, degrees): 9.2643 9.2643 6.6161 90.00 90.00 120.00
Space group P6_3/mcm (No. 193)
Asymmetric unit:
Pm1 0.0000 0.3129 0.2500 (multiplicity 6)
Pm2 0.3333 0.6667 0.0000 (multiplicity 4)
Mg1 0.0000 0.0000 0.0000 (multiplicity 2)
Al1 0.0000 0.3480 0.7500 (multiplicity 6)


No. 2
Material: Pm5Mg4Al
Method: DFT, PBE
State: relaxed

## Properties
Calculated formation energy   -0.159 eV/atom

Lattice parameters (Å, degrees): 3.8064 3.8064 19.4190 90.00 90.00 90.00
Space group P4/mmm (No. 123)
Asymmetric unit:
Pm1 0.0000 0.0000 0.0000 (multiplicity 1)
Pm2 0.0000 0.0000 0.2035 (multiplicity 2)
Pm3 0.0000 0.0000 0.4087 (multiplicity 2)
Mg1 0.5000 0.5000 0.1019 (multiplicity 2)
Mg2 0.5000 0.5000 0.3044 (multiplicity 2)
Al1 0.5000 0.5000 0.5000 (multiplicity 1)


No. 3
Material: PmMgAl3
Method: DFT, PBE
State: relaxed

## Properties
Calculated formation energy   -0.264 eV/atom

Lattice parameters (Å, degrees): 3.5520 26.8084 4.5490 90.00 90.00 90.00
Space group Cmcm (No. 63)
Asymmetric unit:
Pm1 0.0000 0.0748 0.2500 (multiplicity 4)
Mg1 0.0000 0.2151 0.7500 (multiplicity 4)
Al1 0.0000 0.3212 0.7500 (multiplicity 4)
Al2 0.0000 0.3745 0.2500 (multiplicity 4)
Al3 0.0000 0.4751 0.2500 (multiplicity 4)